# 1
Density functional theory data (GGA-PBEsol) for Nb2SiIrOs after structural relaxation.

Summary:
As for the crystal system: tetragonal. The calculation puts the density of states at the Fermi level at 3.6 states/eV/f.u. The energy relative to the elements, uncorrected comes out at 424 kJ/mol of formula units.

a b c (Å): 4.511 4.511 4.277
angles (deg): 90.00 90.00 90.00
Space group P4/mmm (No. 123)
One atom of each set of equivalent atoms:
Nb 0.000 0.500 0.000 [2 per cell]
Si 0.000 0.000 0.000 [1 per cell]
Ir 0.500 0.500 0.500 [1 per cell]
Os 0.000 0.000 0.500 [1 per cell]



# 2
Density functional theory data (GGA-PBEsol) for BaNi2As2O8 after structural relaxation.

Summary:
As for the crystal system: trigonal. The energy relative to the elements, uncorrected comes out at -1761 kJ/mol of formula units.

a b c (Å): 4.9382 4.9382 23.4866
angles (deg): 90.00 90.00 120.00
Space group R-3 (No. 148, hexagonal axes)
One atom of each set of equivalent atoms:
Ba 0.0000 0.0000 0.0000 [3 per cell]
Ni 0.0000 0.0000 0.1686 [6 per cell]
As 0.0000 0.0000 0.4272 [6 per cell]
O 0.0000 0.0000 0.3554 [6 per cell]
O 0.0006 0.3251 0.1158 [18 per cell]



# 3
Density functional theory data (GGA-PBEsol) for Eu2P3Pt4 after structural relaxation.

Summary:
As for the crystal system: tetragonal. The calculation puts the energy relative to the elements at -1.051 eV per atom. The calculation puts the density of states at the Fermi level at 24.1 states/eV/f.u.

a b c (Å): 4.101 4.101 19.083
angles (deg): 90.00 90.00 90.00
Space group I-4m2 (No. 119)
One atom of each set of equivalent atoms:
Eu 0.000 0.000 0.129 [4 per cell]
P 0.000 0.000 0.426 [4 per cell]
P 0.000 0.500 0.250 [2 per cell]
Pt 0.000 0.000 0.305 [4 per cell]
Pt 0.000 0.500 0.000 [4 per cell]



# 4
Density functional theory data (GGA-PBEsol) for Mg2BeBi2 after structural relaxation.

Summary:
As for the crystal system: tetragonal. The calculation puts the energy relative to the elements at 0.272 eV per atom. The calculation puts the density of states at the Fermi level at 2.6 states/eV/f.u.

a b c (Å): 7.344 7.344 4.582
angles (deg): 90.00 90.00 90.00
Space group P4/mbm (No. 127)
One atom of each set of equivalent atoms:
Mg 0.150 0.350 0.000 [4 per cell]
Be 0.000 0.000 0.500 [2 per cell]
Bi 0.166 0.666 0.500 [4 per cell]



| no. | energy (eV/atom) |
| --- | --- |
| 1 | -9.007 |
| 2 | -6.532 |
| 3 | -8.424 |
| 4 | -2.929 |